TlBi2IrPb: relaxed, PBE.

Properties
**Space group**: P4/mmm, No. 123
**ΔE_f**: 1.081 eV per atom

Cell and atoms, written as extended XYZ:
```
5
Lattice="5.786 0.000 0.000 0.000 5.786 0.000 0.000 0.000 5.066" Properties=species:S:1:pos:R:3 pbc="T T T"
Tl 0.000 0.000 0.000
Bi 0.000 2.893 0.000
Bi 2.893 0.000 0.000
Ir 0.000 0.000 2.533
Pb 2.893 2.893 2.533
```

MnPbW2: relaxed, PBE.

Properties
**Space group**: P4/mmm, No. 123
**ΔE_f**: 0.739 eV per atom

Cell and atoms, written as extended XYZ:
```
4
Lattice="3.348 0.000 0.000 0.000 3.348 0.000 0.000 0.000 6.391" Properties=species:S:1:pos:R:3 pbc="T T T"
Mn 0.000 0.000 0.000
Pb 0.000 0.000 3.195
W 1.674 1.674 1.210
W 1.674 1.674 5.180
```

Tm4MgHg: relaxed, PBE.

Properties
**Space group**: P4/mmm, No. 123
**ΔE_f**: 0.157 eV per atom

Cell and atoms, written as extended XYZ:
```
6
Lattice="5.031 0.000 0.000 0.000 5.031 0.000 0.000 0.000 7.376" Properties=species:S:1:pos:R:3 pbc="T T T"
Tm 0.000 2.515 1.763
Tm 0.000 2.515 5.613
Tm 2.515 0.000 1.763
Tm 2.515 0.000 5.613
Mg 0.000 0.000 3.688
Hg 2.515 2.515 0.000
```

PrCuPd3Au: relaxed, PBE.

Properties
**Space group**: Cmcm, No. 63
**ΔE_f**: -0.319 eV per atom

Cell and atoms, written as extended XYZ:
```
12
Lattice="2.828 -7.044 0.000 2.828 7.044 0.000 0.000 0.000 5.694" Properties=species:S:1:pos:R:3 pbc="T T T"
Pr 2.828 4.778 4.271
Pr 2.828 -4.778 1.424
Cu 2.828 5.269 1.424
Cu 2.828 -5.269 4.271
Pd 1.415 0.000 0.000
Pd 1.415 0.000 2.847
Pd 2.828 2.528 1.424
Pd 2.828 -2.528 4.271
Pd 4.241 0.000 0.000
Pd 4.241 0.000 2.847
Au 2.828 1.902 4.271
Au 2.828 -1.902 1.424
```

Q: Look up the ΔE_f of the third one.
A: 0.157 eV per atom